Below is crystalline KPa2Ag2O7 at its relaxed geometry, with properties calculated at the GGA-PBE level.

Unit cell a=4.3160 b=4.4427 c=10.7146 alpha=101.98 beta=101.63 gamma=90.00
Closest atoms and distances in Å follow each position.
Element x y z (fractional)
1 K 0.0000 0.0000 0.0000  12 O 3.03-3.10
2 Pa 0.3936 0.3935 0.7873  6 O 2.16-2.27
3 Pa 0.6064 0.6064 0.2127  6 O 2.16-2.27
4 Ag 0.2736 0.7734 0.5472  5 O 2.23-2.49
5 Ag 0.7264 0.2266 0.4528  5 O 2.23-2.49
6 O 0.3947 0.8946 0.7896  2 Pa 2.22, 1 Ag 2.49
7 O 0.7169 0.7170 0.4338  4 Ag 2.23-2.45, 1 Pa 2.27
8 O 0.1008 0.6008 0.2015  2 Pa 2.16
9 O 0.6053 0.1053 0.2104  2 Pa 2.22, 1 Ag 2.49
10 O 0.2831 0.2829 0.5662  4 Ag 2.23-2.45, 1 Pa 2.27
11 O 0.8992 0.3992 0.7985  2 Pa 2.16
12 O 0.5000 0.5000 0.0000  2 Pa 2.18

Properties
- crystal system = orthorhombic
- density of states at the Fermi level (states/eV/atom) = 0.3577
- ΔE_f (raw) (meV/atom) = -2325